Na3MnF: relaxed, PBE+U.

Total moment, μB per cell: 6.63
DOS at the Fermi energy, states/eV per cell: 3.8
DFT total energy, eV per atom: -2.52

Cell lengths 5.970, 5.970, 5.970 Å; angles 90.00, 90.00, 90.00 degrees
Space group Pm-3m (No. 221)
One atom of each set of equivalent atoms:
Na1 0.000 0.000 0.500 x3
Mn1 0.000 0.000 0.000 x1
F1 0.500 0.500 0.500 x1